# 1
## LuHf2Os (PBE)

Data for a relaxed structure of LuHf2Os.

Geometry as extended XYZ:
```
4
Lattice="3.2537 0.0000 0.0000 0.0000 3.2537 0.0000 0.0000 0.0000 8.0843" Properties=species:S:1:pos:R:3 pbc="T T T"
Lu 1.6269 1.6269 4.0422
Os 1.6269 1.6269 0.0000
Hf 0.0000 0.0000 1.6140
Hf 0.0000 0.0000 6.4704
```

Calculated values
Volume: 21.4 A^3/atom
M_tot: 1.594 μB/f.u.
SG: P4/mmm, No. 123
DFT formation energy: -0.172 eV per atom



# 2
## LuHfOsPt (PBE)

Data for a relaxed structure of LuHfOsPt.

Geometry as extended XYZ:
```
4
Lattice="-1.7937 3.8380 -2.0566 -4.3186 -0.1329 -1.8733 -3.5315 2.3404 2.0561" Properties=species:S:1:pos:R:3 pbc="T T T"
Os -2.4109 1.5114 -0.4685
Hf 0.0000 0.0000 0.0000
Pt -7.2328 4.5341 -1.4054
Lu -4.8219 3.0227 -0.9369
```

Calculated values
Volume: 18.5 A^3/atom
M_tot: 0.036 μB/f.u.
SG: F-43m, No. 216
DFT formation energy: -0.789 eV per atom



# 3
## LuHfOsRh (PBE)

Data for a relaxed structure of LuHfOsRh.

Geometry as extended XYZ:
```
4
Lattice="4.6629 0.0000 0.0000 2.3314 4.0382 0.0000 2.3314 1.3461 3.8072" Properties=species:S:1:pos:R:3 pbc="T T T"
Hf 2.3314 1.3461 0.9518
Os 0.0000 0.0000 0.0000
Rh 4.6629 2.6921 1.9036
Lu 6.9943 4.0382 2.8554
```

Calculated values
Volume: 17.9 A^3/atom
M_tot: 0.000 μB/f.u.
SG: F-43m, No. 216
DFT formation energy: -0.749 eV per atom



# 4
## LuHfTcOs (PBE)

Data for a relaxed structure of LuHfTcOs.

Geometry as extended XYZ:
```
4
Lattice="4.6660 0.0000 0.0000 2.3330 4.0409 0.0000 2.3330 1.3470 3.8098" Properties=species:S:1:pos:R:3 pbc="T T T"
Lu 6.9990 4.0409 2.8573
Os 0.0000 0.0000 0.0000
Tc 4.6660 2.6939 1.9049
Hf 2.3330 1.3470 0.9524
```

Calculated values
Volume: 18.0 A^3/atom
M_tot: 0.000 μB/f.u.
SG: F-43m, No. 216
DFT formation energy: -0.328 eV per atom



# 5
## LuHfZnOs (PBE)

Data for a relaxed structure of LuHfZnOs.

Geometry as extended XYZ:
```
4
Lattice="-3.0535 1.3427 -3.3394 0.6713 -1.3220 -4.4810 -2.8777 -3.1740 -1.9805" Properties=species:S:1:pos:R:3 pbc="T T T"
Zn -1.3149 -0.7883 -2.4502
Os -3.9448 -2.3650 -7.3507
Hf 0.0000 0.0000 0.0000
Lu -2.6299 -1.5766 -4.9004
```

Calculated values
Volume: 18.6 A^3/atom
M_tot: 0.001 μB/f.u.
SG: F-43m, No. 216
DFT formation energy: -0.375 eV per atom



# 6
## LuHf2Pa (PBE)

Data for a relaxed structure of LuHf2Pa.

Geometry as extended XYZ:
```
4
Lattice="-3.6839 -0.8316 -0.3294 0.1160 -1.8286 3.3188 -1.6259 5.8938 3.3043" Properties=species:S:1:pos:R:3 pbc="T T T"
Lu -2.5969 1.6168 3.1468
Pa -1.7839 -1.3301 1.4947
Hf -0.3475 1.2597 0.7062
Hf -1.2784 4.6341 2.5980
```

Calculated values
Distance to the lowest polymorph of the same formula: 3 meV/atom
Volume: 25.0 A^3/atom
M_tot: 0.000 μB/f.u.
SG: P4/mmm, No. 123
DFT formation energy: 0.147 eV per atom



# 7
## LuHf2Pa (PBE)

Data for a relaxed structure of LuHf2Pa.

Geometry as extended XYZ:
```
4
Lattice="-4.3345 -0.2389 -1.3339 -1.0724 -2.2898 3.8948 -0.8774 4.0324 2.1291" Properties=species:S:1:pos:R:3 pbc="T T T"
Lu -2.1673 -0.1194 -0.6669
Hf -0.4387 2.0162 1.0645
Hf -0.5362 -1.1449 1.9474
Pa -3.1422 0.7518 2.3450
```

Calculated values
Distance to the lowest polymorph of the same formula: 34 meV/atom
Volume: 24.5 A^3/atom
M_tot: 0.000 μB/f.u.
SG: P4/mmm, No. 123
DFT formation energy: 0.178 eV per atom



# 8
## LuHfPa (PBE)

Data for a relaxed structure of LuHfPa.

Geometry as extended XYZ:
```
3
Lattice="-0.0134 0.1474 -3.1988 1.1334 -2.9916 -0.1426 -7.5060 -1.2051 1.5787" Properties=species:S:1:pos:R:3 pbc="T T T"
Lu -3.8907 -1.4716 -0.0516
Pa -5.7844 -3.8218 -1.7548
Hf -1.0131 -2.0171 -1.6916
```

Calculated values
Distance to the lowest polymorph of the same formula: 0 meV/atom
Volume: 25.4 A^3/atom
M_tot: 0.000 μB/f.u.
SG: I4mm, No. 107
DFT formation energy: 0.152 eV per atom



# 9
## Lu3Hf12Pa5 (PBE)

Data for a relaxed structure of Lu3Hf12Pa5.

Geometry as extended XYZ:
```
80
Lattice="-3.5811 3.2047 -13.9529 6.6807 -13.1501 0.4677 -12.2295 -0.3993 8.2497" Properties=species:S:1:pos:R:3 pbc="T T T"
Hf -13.2120 1.6104 -5.9105
Hf -9.7853 -5.7923 -1.1849
Hf -4.2423 -3.2076 -7.6898
Lu -3.9758 -8.9104 0.2745
Lu 0.3484 -7.1084 -10.8268
Pa -0.0231 -9.6118 1.7003
Hf 4.0822 -11.9551 0.6751
Lu -5.1540 -1.4343 -5.5100
Lu -8.9050 -3.2278 -2.3579
Hf -6.5624 -10.6837 4.1953
Pa -1.2014 -2.1357 -4.0842
Lu -7.4206 -7.7671 4.0226
Hf -3.9829 -2.3750 -2.8611
Hf -4.2913 -1.7702 -10.4446
Hf -11.6946 -2.5095 -3.0129
Hf -2.6438 -6.6524 -1.0872
Hf -0.5620 -5.3319 -8.6491
Hf -4.8875 -7.1372 2.4543
Hf -10.5498 -5.2473 -3.9356
Hf -7.4935 -0.8365 -1.1081
Pa -0.9997 -4.6305 0.4937
Hf -1.3081 -4.6103 -11.3639
Pa -3.0964 -5.9650 -7.0787
Hf -5.1469 -7.9698 -2.3744
Hf -2.0649 -1.7975 0.8536
Hf -6.2639 -3.4696 -1.0566
Pa 3.3404 -6.5751 0.2339
Hf -7.0649 -8.5472 -6.0891
Hf -6.7535 -9.1503 1.4990
Hf -8.5678 -5.0128 3.4136
Hf 0.6555 -4.5525 -4.0506
Lu -5.3557 1.0605 -10.0879
Pa -9.1067 -0.7330 -6.9358
Pa -7.9284 -8.2091 -1.1513
Hf 2.5648 -7.8353 -2.2225
Hf -6.4860 -3.6924 -4.1483
Hf -11.0907 -3.1352 -0.2396
Pa 0.5501 -9.6032 -6.2489
Hf -6.3808 -1.0279 -8.2673
Hf -5.3081 0.2045 -3.0569
Pa -12.5515 0.4104 -3.1877
Hf 1.9609 -7.2095 -4.9959
Lu -1.7092 -2.5777 -9.2581
Pa -7.9053 1.4027 -2.8516
Hf -7.8217 -5.7344 6.1284
Hf -4.8385 -8.5746 5.2091
Hf -11.3314 -0.8202 5.5590
Hf -7.8761 -1.1401 -4.1771
Pa -2.7744 -6.7747 4.3587
Hf -2.7490 -9.3168 3.0318
Lu -9.4782 -3.2363 5.5913
Hf -2.8658 -6.8751 -4.1789
Pa 3.4217 -10.7551 -2.0478
Hf -3.8217 -10.5492 -2.1786
Pa -4.5649 -5.1724 -2.6177
Hf -4.5500 -11.3029 1.9095
Hf -1.6363 -9.5082 -4.1274
Hf 1.6371 -12.1105 2.2388
Hf -2.5674 0.3389 -9.4307
Pa -6.0334 -4.3797 1.8432
Pa -6.1147 -0.1997 4.1249
Hf -8.9047 -0.8415 3.9595
Lu -4.6462 -0.9923 -0.3361
Hf 1.4200 -5.0974 -1.2999
Hf -0.2251 -9.5032 -9.1949
Pa -9.6799 -0.7415 1.0134
Hf -4.4144 -1.8992 2.5616
Pa 1.5498 -4.9727 -6.7426
Hf -4.7154 -8.4455 -7.7971
Hf -4.5798 0.9581 -7.1450
Hf 2.2016 -9.5245 -10.7945
Pa 0.0000 0.0000 0.0000
Lu -0.2248 -7.1169 -2.8776
Lu -4.4836 -9.3524 -4.8993
Pa -8.1301 -5.7142 -5.7292
Hf -10.7669 1.7658 -7.4742
Lu -3.7741 -11.4053 4.8524
Pa -1.7905 1.6024 -6.9764
Hf -2.3762 -1.1944 -6.7344
Hf -1.2537 -9.2047 -1.0584
```

Calculated values
Volume: 30.9 A^3/atom
M_tot: 5.489 μB/f.u.
SG: Ia-3d, No. 230
DFT formation energy: 1.483 eV per atom



# 10
## LuHfPa (PBE)

Data for a relaxed structure of LuHfPa.

Geometry as extended XYZ:
```
3
Lattice="3.2478 0.0000 0.0000 0.0000 5.1857 0.0000 0.0000 -2.5928 4.4909" Properties=species:S:1:pos:R:3 pbc="T T T"
Hf 0.5404 0.0000 0.0000
Pa 0.5419 0.0000 2.9939
Lu 2.1655 2.5928 1.4970
```

Calculated values
Distance to the lowest polymorph of the same formula: 37 meV/atom
Volume: 25.2 A^3/atom
M_tot: 0.007 μB/f.u.
SG: P-6m2, No. 187
DFT formation energy: 0.189 eV per atom



# 11
## LuHf2Pa (PBE)

Data for a relaxed structure of LuHf2Pa.

Geometry as extended XYZ:
```
4
Lattice="3.2553 0.0000 0.0000 1.6276 2.8191 0.0000 1.6276 0.9397 10.7681" Properties=species:S:1:pos:R:3 pbc="T T T"
Lu 3.2553 1.8794 5.3840
Hf 1.6276 0.9397 2.6228
Hf 4.8829 2.8191 8.1453
Pa 0.0000 0.0000 0.0000
```

Calculated values
Distance to the lowest polymorph of the same formula: 0 meV/atom
Volume: 24.7 A^3/atom
M_tot: 0.000 μB/f.u.
SG: R-3m, No. 166
DFT formation energy: 0.144 eV per atom



# 12
## LuHfScPa (PBE)

Data for a relaxed structure of LuHfScPa.

Geometry as extended XYZ:
```
4
Lattice="-3.7143 1.3629 -3.3756 -4.7494 -2.0856 0.3774 -4.0042 2.9195 1.5783" Properties=species:S:1:pos:R:3 pbc="T T T"
Pa -3.1170 0.5492 -0.3550
Lu -9.3509 1.6476 -1.0649
Sc -6.2340 1.0984 -0.7100
Hf 0.0000 0.0000 0.0000
```

Calculated values
Volume: 24.9 A^3/atom
M_tot: 0.000 μB/f.u.
SG: F-43m, No. 216
DFT formation energy: 0.220 eV per atom